# 1
Density functional theory data (PBE-GGA) for a relaxed Li2DyNiAs2 crystal.

The space group is P-3m1 (No. 164) and the conventional cell measures 4.1356, 4.1356 and 6.4626 Å, with angles of 90.00, 90.00 and 120.00 degrees. Symmetry generates all atoms from Li at (0.3333, 0.6667, 0.3531), Dy at (0.0000, 0.0000, 0.0000), Ni at (0.0000, 0.0000, 0.5000) and As at (0.3333, 0.6667, 0.7380).

The calculation puts the raw total energy at -4.589 eV per atom.

# 2
Density functional theory data (PBE-GGA) for a relaxed LiDyAsO crystal.

The space group is P4/nmm (No. 129, origin choice 2) and the conventional cell measures 5.7161, 5.7161 and 4.5866 Å, with angles of 90.00, 90.00 and 90.00 degrees. Symmetry generates all atoms from Li at (0.2500, 0.2500, 0.0042), Dy at (0.2500, 0.7500, 0.5000), As at (0.2500, 0.2500, 0.5043) and O at (0.2500, 0.7500, 0.0000).

As for the offset from the most stable computed form: 530 meV per atom.

# 3
Density functional theory data (PBE-GGA) for a relaxed LiDyAsO crystal.

The space group is Pmc2_1 (No. 26) and the conventional cell measures 3.3732, 6.6131 and 6.9150 Å, with angles of 90.00, 90.00 and 90.00 degrees. Symmetry generates all atoms from Li at (0.0000, 0.1600, 0.0000), Dy at (0.5000, 0.4600, 0.6781), As at (0.0000, 0.2287, 0.4049) and O at (0.5000, 0.3059, 0.9540).

As for the offset from the most stable computed form: 261 meV per atom.

# 4
Density functional theory data (PBE-GGA) for a relaxed LiDyAsO crystal.

The space group is P4/nmm (No. 129, origin choice 2) and the conventional cell measures 4.7502, 4.7502 and 6.8607 Å, with angles of 90.00, 90.00 and 90.00 degrees. Symmetry generates all atoms from Li at (0.2500, 0.2500, 0.0503), Dy at (0.2500, 0.7500, 0.5000), As at (0.2500, 0.2500, 0.6926) and O at (0.2500, 0.7500, 0.0000).

As for the offset from the most stable computed form: 1353 meV per atom.

# 5
Density functional theory data (PBE-GGA) for a relaxed Li4DyAsO6 crystal.

The space group is C2 (No. 5) and the conventional cell measures 5.2684, 9.3894 and 5.0932 Å, with angles of 90.00, 108.39 and 90.00 degrees. Symmetry generates all atoms from Li at (0.0000, 0.0000, 0.0000), Li at (0.0000, 0.1411, 0.5000), Li at (0.0000, 0.3357, 0.0000), Li at (0.0000, 0.6087, 0.0000), Dy at (0.0000, 0.8064, 0.5000), As at (0.0000, 0.4770, 0.5000), O at (0.2083, 0.3349, 0.7324), O at (0.2181, 0.6181, 0.7314) and O at (0.2242, 0.4805, 0.2775).

The calculation puts the raw total energy at -6.015 eV per atom.

# 6
Density functional theory data (PBE-GGA) for a relaxed LiDyAsO crystal.

The space group is Pmc2_1 (No. 26) and the conventional cell measures 3.5087, 7.5179 and 5.8861 Å, with angles of 90.00, 90.00 and 90.00 degrees. Symmetry generates all atoms from Li at (0.0000, 0.0549, 0.0000), Dy at (0.5000, 0.3066, 0.3317), As at (0.5000, 0.3088, 0.8281) and O at (0.0000, 0.1499, 0.3092).

As for the offset from the most stable computed form: 129 meV per atom.

# 7
Density functional theory data (PBE-GGA) for a relaxed LiDyAsO crystal.

The space group is P4/nmm (No. 129, origin choice 2) and the conventional cell measures 3.7818, 3.7818 and 9.7876 Å, with angles of 90.00, 90.00 and 90.00 degrees. Symmetry generates all atoms from Li at (0.2500, 0.7500, 0.0000), Dy at (0.2500, 0.2500, 0.3820), As at (0.2500, 0.2500, 0.8128) and O at (0.2500, 0.7500, 0.5000).

As for the offset from the most stable computed form: 0 meV per atom.

# 8
Density functional theory data (PBE-GGA) for a relaxed DyLuAs crystal.

The space group is F-43m (No. 216) and the conventional cell measures 6.7260, 6.7260 and 6.7260 Å, with angles of 90.00, 90.00 and 90.00 degrees. Symmetry generates all atoms from Dy at (0.0000, 0.0000, 0.0000), Lu at (0.0000, 0.0000, 0.5000) and As at (0.2500, 0.2500, 0.2500).

As for the offset from the most stable computed form: 0 meV per atom.

# 9
Density functional theory data (PBE-GGA) for a relaxed DyLuAsO crystal.

The space group is Pmc2_1 (No. 26) and the conventional cell measures 4.0706, 7.6644 and 5.6955 Å, with angles of 90.00, 90.00 and 90.00 degrees. Symmetry generates all atoms from Dy at (0.0000, 0.1191, 0.0000), Lu at (0.5000, 0.2831, 0.4428), As at (0.5000, 0.3536, 0.9338) and O at (0.0000, 0.1745, 0.3905).

As for the offset from the most stable computed form: 38 meV per atom.

# 10
Density functional theory data (PBE-GGA) for a relaxed DyLuAsO crystal.

The space group is Pmc2_1 (No. 26) and the conventional cell measures 4.1495, 7.3953 and 5.9153 Å, with angles of 90.00, 90.00 and 90.00 degrees. Symmetry generates all atoms from Dy at (0.0000, 0.2115, 0.0000), Lu at (0.5000, 0.3911, 0.5805), As at (0.0000, 0.1684, 0.4888) and O at (0.5000, 0.3354, 0.9378).

As for the offset from the most stable computed form: 0 meV per atom.

# 11
Density functional theory data (PBE-GGA) for a relaxed DyLuAsO crystal.

The space group is P4/nmm (No. 129, origin choice 2) and the conventional cell measures 4.2959, 4.2959 and 8.6500 Å, with angles of 90.00, 90.00 and 90.00 degrees. Symmetry generates all atoms from Dy at (0.2500, 0.2500, 0.1033), Lu at (0.2500, 0.7500, 0.5000), As at (0.2500, 0.2500, 0.7008) and O at (0.2500, 0.7500, 0.0000).

As for the offset from the most stable computed form: 66 meV per atom.

# 12
Density functional theory data (PBE-GGA) for a relaxed DyLuAsO crystal.

The space group is P4/nmm (No. 129, origin choice 2) and the conventional cell measures 4.2877, 4.2877 and 8.6397 Å, with angles of 90.00, 90.00 and 90.00 degrees. Symmetry generates all atoms from Dy at (0.2500, 0.7500, 0.0000), Lu at (0.2500, 0.2500, 0.4070), As at (0.2500, 0.2500, 0.7885) and O at (0.2500, 0.7500, 0.5000).

As for the offset from the most stable computed form: 145 meV per atom.

# 13
Density functional theory data (PBE-GGA) for a relaxed DyMgAs crystal.

The space group is F-43m (No. 216) and the conventional cell measures 6.8908, 6.8908 and 6.8908 Å, with angles of 90.00, 90.00 and 90.00 degrees. Symmetry generates all atoms from Dy at (0.0000, 0.0000, 0.0000), Mg at (0.2500, 0.2500, 0.2500) and As at (0.2500, 0.2500, 0.7500).

As for the offset from the most stable computed form: 266 meV per atom.

# 14
Density functional theory data (PBE-GGA) for a relaxed DyMgAs crystal.

The space group is F-43m (No. 216) and the conventional cell measures 6.6269, 6.6269 and 6.6269 Å, with angles of 90.00, 90.00 and 90.00 degrees. Symmetry generates all atoms from Dy at (0.0000, 0.0000, 0.0000), Mg at (0.0000, 0.0000, 0.5000) and As at (0.2500, 0.2500, 0.2500).

As for the offset from the most stable computed form: 0 meV per atom.

# 15
Density functional theory data (PBE-GGA) for a relaxed DyMoAs crystal.

The space group is F-43m (No. 216) and the conventional cell measures 6.3534, 6.3534 and 6.3534 Å, with angles of 90.00, 90.00 and 90.00 degrees. Symmetry generates all atoms from Dy at (0.0000, 0.0000, 0.0000), Mo at (0.0000, 0.0000, 0.5000) and As at (0.2500, 0.2500, 0.2500).

The calculation puts the raw total energy at -6.807 eV per atom.

# 16
Density functional theory data (PBE-GGA) for a relaxed Dy3AsN2 crystal.

The space group is P-3m1 (No. 164) and the conventional cell measures 3.5838, 3.5838 and 9.3810 Å, with angles of 90.00, 90.00 and 120.00 degrees. Symmetry generates all atoms from Dy at (0.0000, 0.0000, 0.0000), Dy at (0.3333, 0.6667, 0.7099), As at (0.0000, 0.0000, 0.5000) and N at (0.3333, 0.6667, 0.1509).

The calculation puts the raw total energy at -7.346 eV per atom.

# 17
Density functional theory data (PBE-GGA) for a relaxed DyAsN2O crystal.

The space group is Pmma (No. 51) and the conventional cell measures 5.4168, 3.6269 and 5.5810 Å, with angles of 90.00, 90.00 and 90.00 degrees. Symmetry generates all atoms from Dy at (0.2500, 0.0000, 0.2150), As at (0.2500, 0.5000, 0.7176), N at (0.0000, 0.5000, 0.5000), N at (0.2500, 0.0000, 0.8030) and O at (0.0000, 0.5000, 0.0000).

The calculation puts the raw total energy at -6.859 eV per atom.

# 18
Density functional theory data (PBE-GGA) for a relaxed DyAsN2O crystal.

The space group is P2_1/c (No. 14) and the conventional cell measures 7.9426, 7.2252 and 10.9585 Å, with angles of 90.00, 133.00 and 90.00 degrees. Symmetry generates all atoms from Dy at (0.1342, 0.0096, 0.4229), Dy at (0.2054, 0.5144, 0.4837), As at (0.3223, 0.2496, 0.2920), As at (0.3347, 0.7417, 0.7872), N at (0.1984, 0.0030, 0.2105), N at (0.2904, 0.5099, 0.3114), N at (0.3871, 0.2268, 0.6530), N at (0.4103, 0.7028, 0.9952), O at (0.0681, 0.2341, 0.7824) and O at (0.1004, 0.7137, 0.0505).

The calculation puts the raw total energy at -7.076 eV per atom.

# 19
Density functional theory data (PBE-GGA) for a relaxed DyAsN2O crystal.

The space group is C2/m (No. 12) and the conventional cell measures 7.5047, 7.5359 and 5.3453 Å, with angles of 90.00, 133.25 and 90.00 degrees. Symmetry generates all atoms from Dy at (0.2357, 0.0000, 0.4793), As at (0.2500, 0.2500, 0.0000), N at (0.0000, 0.1961, 0.0000), N at (0.1596, 0.5000, 0.9065) and O at (0.0000, 0.1936, 0.5000).

The calculation puts the raw total energy at -6.980 eV per atom.

# 20
Density functional theory data (PBE-GGA) for a relaxed DyAsN2O crystal.

The space group is Pm (No. 6) and the conventional cell measures 3.7809, 3.7982 and 3.7933 Å, with angles of 90.00, 90.29 and 90.00 degrees. Symmetry generates all atoms from Dy at (0.0000, 0.0000, 0.0000), As at (0.5140, 0.5000, 0.4818), N at (0.0220, 0.5000, 0.4553), N at (0.5342, 0.5000, 0.9708) and O at (0.5345, 0.0000, 0.4537).

The calculation puts the raw total energy at -6.820 eV per atom.

no.,density (g/cm3),magnetic moment (μB per formula unit),V (Å³ per cell)
1,6.677,0.8,95.7
2,5.770,0.0,149.9
3,5.606,0.0,154.3
4,5.585,1.0,154.8
5,5.017,0.0,239.1
6,5.569,0.0,155.3
7,6.177,0.0,140.0
8,9.002,0.0,304.3
9,8.007,0.0,177.7
10,7.838,0.0,181.5
11,8.912,0.0,159.6
12,8.957,0.0,158.8
13,5.313,0.0,327.2
14,5.973,0.0,291.0
15,8.634,0.0,256.5
16,9.396,0.0,104.3
17,8.524,0.0,109.6
18,8.129,0.0,459.9
19,8.490,0.0,220.2
20,8.579,0.0,54.5